Entry 1:
The following is a PBE-GGA calculation of crystalline Nd2IrAu at its relaxed geometry, from OQMD via LeMat-Bulk.

Values from the calculation:
Formation energy = -0.722 eV/atom
V = 24.7 Å³/atom
Magnetic moment = 0.00 μB per cell

CIF file:
```
data_Nd2IrAu
_cell_length_a 4.5786
_cell_length_b 3.9610
_cell_length_c 10.8981
_cell_angle_alpha 90.00
_cell_angle_beta 90.00
_cell_angle_gamma 90.00
_space_group_name_H-M_alt 'A m m 2'
_space_group_IT_number 38
_space_group_name_Hall 'A 2 -2'
loop_
_atom_site_label
_atom_site_type_symbol
_atom_site_fract_x
_atom_site_fract_y
_atom_site_fract_z
_atom_site_occupancy
Nd1 Nd 0.0000 0.0000 0.0000 1
Nd2 Nd 0.5000 0.0000 0.2795 1
Ir1 Ir 0.5000 0.0000 0.5477 1
Au1 Au 0.0000 0.0000 0.7199 1
```

Entry 2:
The following is a PBE-GGA calculation of crystalline CsAgTe2OsS at its relaxed geometry, from OQMD via LeMat-Bulk.

Values from the calculation:
Electronic total energy = -4.24 eV per atom
V = 29.5 Å³/atom
Magnetic moment = 2.30 μB per cell

CIF file:
```
data_CsAgTe2OsS
_cell_length_a 4.1119
_cell_length_b 17.1427
_cell_length_c 10.0333
_cell_angle_alpha 90.00
_cell_angle_beta 90.00
_cell_angle_gamma 90.00
_space_group_name_H-M_alt 'C m c m'
_space_group_IT_number 63
_space_group_name_Hall '-C 2c 2'
loop_
_atom_site_label
_atom_site_type_symbol
_atom_site_fract_x
_atom_site_fract_y
_atom_site_fract_z
_atom_site_occupancy
Cs1 Cs 0.0000 0.2379 0.2500 1
Ag1 Ag 0.0000 0.4661 0.7500 1
Te1 Te 0.0000 0.3960 0.5118 1
Os1 Os 0.0000 0.0000 0.0000 1
S1 S 0.0000 0.0529 0.7500 1
```

Entry 3:
The following is a PBE-GGA calculation of crystalline NaPmNO at its relaxed geometry, from OQMD via LeMat-Bulk.

Values from the calculation:
Relative energy among the computed polymorphs = 0.038 eV/atom
V = 14.7 Å³/atom
Magnetic moment = 2.00 μB per cell

CIF file:
```
data_NaPmNO
_cell_length_a 4.9808
_cell_length_b 4.9808
_cell_length_c 4.7324
_cell_angle_alpha 90.00
_cell_angle_beta 90.00
_cell_angle_gamma 90.00
_space_group_name_H-M_alt 'P 4/n m m'
_space_group_IT_number 129
loop_
_space_group_symop_operation_xyz
'x,y,z'
'-x,-y,-z'
'-y+1/2,x,z'
'y+1/2,-x,-z'
'-x+1/2,-y+1/2,z'
'x+1/2,y+1/2,-z'
'y,-x+1/2,z'
'-y,x+1/2,-z'
'x+1/2,-y,-z'
'-x+1/2,y,z'
'-y,-x,-z'
'y,x,z'
'-x,y+1/2,-z'
'x,-y+1/2,z'
'y+1/2,x+1/2,-z'
'-y+1/2,-x+1/2,z'
loop_
_atom_site_label
_atom_site_type_symbol
_atom_site_fract_x
_atom_site_fract_y
_atom_site_fract_z
_atom_site_occupancy
Na1 Na 0.2500 0.2500 0.0011 1
Pm1 Pm 0.2500 0.7500 0.5000 1
N1 N 0.2500 0.2500 0.5014 1
O1 O 0.2500 0.7500 0.0000 1
```

> What is the magnetic moment in the second record?

2.30 μB per cell

> Which value of magnetic moment does entry 1 give?

0.00 μB per cell